# InAgC

Crystalline InAgC at its relaxed geometry (PBE, the Alexandria database).

Cell: 3.6400 4.6855 7.1462 Å, 103.72 104.09 90.08°
Last column: nearest neighbours and their distance in Å.
Space group P-1 (No. 2)
Asymmetric unit:
In1 0.0950 0.2048 0.1946 (multiplicity 2)  2 C 2.48-2.49
Ag1 0.3009 0.2236 0.6025 (multiplicity 2)  1 C 2.20
C1 0.4515 0.5016 0.9078 (multiplicity 2)  1 C 1.28

Properties
* formation energy: 0.643 eV/atom
* energy: -4.2944 eV/atom
* calculated volume: 114.6 Å³ per cell
* DOS at the Fermi energy: 1.28 states/eV/cell